(1)
First-principles (PBEsol) data for crystalline Cu6SnO8 at its relaxed geometry, as listed in Alexandria.

Values from the calculation:
- Raw formation energy: -0.79 eV/atom
- Total magnetization: 0.000 μB/atom
- Calculated density: 5.51 g/cm3

Unit cell a=6.4451 b=6.4451 c=6.4451 alpha=60.00 beta=60.00 gamma=60.00
Positions (direct):
Cu (0.5000, 0.0000, 0.0000)
Cu (0.5000, 0.0000, 0.5000)
Cu (0.0000, 0.5000, 0.0000)
Cu (0.5000, 0.5000, 0.0000)
Cu (0.0000, 0.0000, 0.5000)
Cu (0.0000, 0.5000, 0.5000)
Sn (0.5000, 0.5000, 0.5000)
O (0.6405, 0.0784, 0.6405)
O (0.3595, 0.3595, 0.9216)
O (0.3595, 0.3595, 0.3595)
O (0.0784, 0.6405, 0.6405)
O (0.9216, 0.3595, 0.3595)
O (0.3595, 0.9216, 0.3595)
O (0.6405, 0.6405, 0.6405)
O (0.6405, 0.6405, 0.0784)

(2)
First-principles (PBEsol) data for crystalline Sr16Cu8O23 at its relaxed geometry, as listed in Alexandria.

Values from the calculation:
- Raw formation energy: -2.12 eV/atom
- Total magnetization: 0.000 μB/atom
- Calculated density: 5.54 g/cm3

Unit cell a=6.7704 b=10.0409 c=11.1873 alpha=106.50 beta=98.12 gamma=105.58
Positions (direct):
O (0.8814, 0.8806, 0.7528)
O (0.1045, 0.4030, 0.3847)
O (0.2035, 0.5137, 0.1247)
O (0.7010, 0.0138, 0.1247)
O (0.6719, 0.3583, 0.1260)
O (0.1674, 0.8577, 0.1230)
O (0.9508, 0.2623, 0.6257)
O (0.6269, 0.6260, 0.2516)
O (0.5543, 0.2539, 0.3844)
O (0.4457, 0.7461, 0.6156)
O (0.0000, 0.0000, 0.5000)
O (0.3731, 0.3740, 0.7484)
O (0.4185, 0.1057, 0.6255)
O (0.7965, 0.4863, 0.8753)
O (0.1186, 0.1194, 0.2472)
O (0.2499, 0.2478, 0.9995)
O (0.2990, 0.9862, 0.8753)
O (0.0492, 0.7377, 0.3743)
O (0.8955, 0.5970, 0.6153)
O (0.8326, 0.1423, 0.8770)
O (0.5815, 0.8943, 0.3745)
O (0.3281, 0.6417, 0.8740)
O (0.7501, 0.7522, 0.0005)
Cu (0.9348, 0.9362, 0.1247)
Cu (0.0652, 0.0638, 0.8753)
Cu (0.6787, 0.6797, 0.6214)
Cu (0.5620, 0.5635, 0.8735)
Cu (0.1864, 0.1858, 0.6257)
Cu (0.3213, 0.3203, 0.3786)
Cu (0.8136, 0.8142, 0.3743)
Cu (0.4380, 0.4365, 0.1265)
Sr (0.2819, 0.9916, 0.3750)
Sr (0.9698, 0.2595, 0.1249)
Sr (0.0302, 0.7405, 0.8751)
Sr (0.7181, 0.0084, 0.6250)
Sr (0.4660, 0.7604, 0.1236)
Sr (0.6573, 0.3591, 0.6289)
Sr (0.0942, 0.3864, 0.8771)
Sr (0.5935, 0.8856, 0.8743)
Sr (0.7932, 0.4911, 0.3714)
Sr (0.8450, 0.1373, 0.3759)
Sr (0.1550, 0.8627, 0.6241)
Sr (0.5340, 0.2396, 0.8764)
Sr (0.9058, 0.6136, 0.1229)
Sr (0.3427, 0.6409, 0.3711)
Sr (0.4065, 0.1144, 0.1257)
Sr (0.2068, 0.5089, 0.6286)